# 1
# Si23Te4

An optimized crystal structure of Si23Te4 (PBE-GGA, Alexandria).

## Properties
Magnetic moment (μB per cell): 0.001
Raw formation energy (eV per atom): 0.19

Cell lengths 10.2320, 10.2320, 10.2320 Å; angles 90.00, 90.00, 90.00 degrees
Fractional coordinates of all 54 atoms:
Si  0.0000  0.1164  0.3106
Si  0.0000  0.1164  0.6894
Si  0.0000  0.2500  0.5000
Si  0.0000  0.7500  0.5000
Si  0.0000  0.8836  0.3106
Si  0.0000  0.8836  0.6894
Si  0.1164  0.3106  0.0000
Si  0.1164  0.6894  0.0000
Si  0.1830  0.1830  0.1830
Si  0.1830  0.1830  0.8170
Si  0.1830  0.8170  0.1830
Si  0.1830  0.8170  0.8170
Si  0.1894  0.3836  0.5000
Si  0.1894  0.6164  0.5000
Si  0.2500  0.5000  0.0000
Si  0.3106  0.0000  0.1164
Si  0.3106  0.0000  0.8836
Si  0.3170  0.3170  0.3170
Si  0.3170  0.3170  0.6830
Si  0.3170  0.6830  0.3170
Si  0.3170  0.6830  0.6830
Si  0.3836  0.5000  0.1894
Si  0.3836  0.5000  0.8106
Si  0.5000  0.0000  0.2500
Si  0.5000  0.0000  0.7500
Si  0.5000  0.1894  0.3836
Si  0.5000  0.1894  0.6164
Si  0.5000  0.8106  0.3836
Si  0.5000  0.8106  0.6164
Si  0.6164  0.5000  0.1894
Si  0.6164  0.5000  0.8106
Si  0.6830  0.3170  0.3170
Si  0.6830  0.3170  0.6830
Si  0.6830  0.6830  0.3170
Si  0.6830  0.6830  0.6830
Si  0.6894  0.0000  0.1164
Si  0.6894  0.0000  0.8836
Si  0.7500  0.5000  0.0000
Si  0.8106  0.3836  0.5000
Si  0.8106  0.6164  0.5000
Si  0.8170  0.1830  0.1830
Si  0.8170  0.1830  0.8170
Si  0.8170  0.8170  0.1830
Si  0.8170  0.8170  0.8170
Si  0.8836  0.3106  0.0000
Si  0.8836  0.6894  0.0000
Te  0.0000  0.0000  0.0000
Te  0.0000  0.5000  0.2500
Te  0.0000  0.5000  0.7500
Te  0.2500  0.0000  0.5000
Te  0.5000  0.2500  0.0000
Te  0.5000  0.5000  0.5000
Te  0.5000  0.7500  0.0000
Te  0.7500  0.0000  0.5000



# 2
# Zr2MnMo

An optimized crystal structure of Zr2MnMo (PBE-GGA, Alexandria).

## Properties
Magnetic moment (μB per cell): 0.000
Relative energy among the computed polymorphs (eV/atom): 0.268

Cell lengths 9.1508, 9.1508, 9.1508 Å; angles 19.34, 19.34, 19.34 degrees
Fractional coordinates of all 4 atoms:
Zr  0.0000  0.0000  0.0000
Zr  0.2328  0.2328  0.2328
Mn  0.7472  0.7472  0.7472
Mo  0.4748  0.4748  0.4748



# 3
# Mo4AuCl

An optimized crystal structure of Mo4AuCl (PBE-GGA, Alexandria).

## Properties
Magnetic moment (μB per cell): 0.000
Raw formation energy (eV per atom): 0.84

Cell lengths 5.3000, 5.3000, 5.3000 Å; angles 60.00, 60.00, 60.00 degrees
Fractional coordinates of all 6 atoms:
Mo  0.3771  0.3771  0.3771
Mo  0.3771  0.3771  0.8688
Mo  0.3771  0.8688  0.3771
Mo  0.8688  0.3771  0.3771
Au  0.0000  0.0000  0.0000
Cl  0.7500  0.7500  0.7500



Question: Look up the magnetic moment of the first one.
Answer: 0.001 μB per cell